# 1
An optimized crystal structure of NaTeOF2. Source: Alexandria, functional PBE.

Lattice parameters (Å, degrees): 4.764 4.764 4.127 90.00 90.00 90.00
Positions (direct):
Na (0.000, 0.000, 0.000)
Te (0.500, 0.500, 0.500)
O (0.500, 0.500, 0.000)
F (0.000, 0.500, 0.500)
F (0.500, 0.000, 0.500)

Polymorph energy (0 for the lowest one) = 0.0 meV/atom
Space group = P4/mmm, No. 123


# 2
An optimized crystal structure of SnIBr. Source: Alexandria, functional PBE.

Lattice parameters (Å, degrees): 3.889 3.889 14.689 90.00 90.00 90.00
Positions (direct):
Sn (0.000, 0.000, 0.000)
Sn (0.500, 0.500, 0.500)
I (0.000, 0.000, 0.368)
I (0.500, 0.500, 0.868)
Br (0.000, 0.000, 0.615)
Br (0.500, 0.500, 0.115)

Space group = I4mm, No. 107


# 3
An optimized crystal structure of Rb2UPdS4. Source: Alexandria, functional PBE.

Lattice parameters (Å, degrees): 7.590 7.590 8.304 90.00 90.00 90.00
Positions (direct):
Rb (0.000, 0.000, 0.000)
Rb (0.000, 0.500, 0.250)
Rb (0.500, 0.000, 0.750)
Rb (0.500, 0.500, 0.500)
U (0.000, 0.000, 0.500)
U (0.500, 0.500, 0.000)
Pd (0.000, 0.500, 0.750)
Pd (0.500, 0.000, 0.250)
S (0.150, 0.765, 0.672)
S (0.235, 0.150, 0.328)
S (0.265, 0.350, 0.828)
S (0.350, 0.735, 0.172)
S (0.650, 0.265, 0.172)
S (0.735, 0.650, 0.828)
S (0.765, 0.850, 0.328)
S (0.850, 0.235, 0.672)

Space group = I-4, No. 82


Calculated total energy list, top to bottom, in eV per formula unit: -20.58 -8.61 -42.00
Energy relative to the elements, uncorrected list, top to bottom, in eV/atom: -1.485 -0.460 -0.884
Volume list, top to bottom, in Å³/f.u.: 93.7 111.1 239.2